No. 1
Material: YSbO2
Method: DFT, PBE
State: optimized geometry

abc: 5.6307 5.6307 6.4486
angles: 64.11 64.11 90.00
Atoms (fractional coordinates):
O 0.5584 0.1250 0.2500
O 0.8750 0.8084 0.7500
Sb 0.7500 0.2500 0.5000
Y 0.2500 0.7500 0.5000
Sb 0.0000 0.0000 0.0000
Y 0.5000 0.5000 0.0000
O 0.3750 0.4416 0.7500
O 0.1916 0.6250 0.2500

SG: I-42d (122)
Uncorrected energy in eV/atom: -6.900
ΔE_f (raw) in eV per atom: -1.775
DOS at the Fermi energy in states/eV per cell: 2.05

***

No. 2
Material: Y3SbO6
Method: DFT, PBE
State: optimized geometry

abc: 6.7814 6.7814 6.7814
angles: 91.50 91.50 91.50
Atoms (fractional coordinates):
O 0.5263 0.3942 0.1784
O 0.0999 0.9273 0.6813
O 0.9273 0.6813 0.0999
Y 0.7484 0.4439 0.9347
O 0.4737 0.6058 0.8216
O 0.8216 0.4737 0.6058
O 0.6813 0.0999 0.9273
Y 0.5561 0.0653 0.2516
O 0.0727 0.3187 0.9001
Y 0.9347 0.7484 0.4439
Y 0.4439 0.9347 0.7484
Sb 0.5000 0.5000 0.5000
O 0.1784 0.5263 0.3942
Sb 0.0000 0.0000 0.0000
O 0.6058 0.8216 0.4737
O 0.3942 0.1784 0.5263
O 0.9001 0.0727 0.3187
Y 0.2516 0.5561 0.0653
O 0.3187 0.9001 0.0727
Y 0.0653 0.2516 0.5561

SG: R-3 (148)
Uncorrected energy in eV/atom: -8.224
ΔE_f (raw) in eV per atom: -2.898
DOS at the Fermi energy in states/eV per cell: 0.00

***

No. 3
Material: Y2Sb2O7
Method: DFT, PBE
State: optimized geometry

abc: 7.5494 7.5494 7.5494
angles: 60.00 60.00 60.00
Atoms (fractional coordinates):
Sb 0.1250 0.1250 0.1250
O 0.0321 0.4679 0.4679
Sb 0.6250 0.1250 0.1250
Sb 0.1250 0.1250 0.6250
O 0.5000 0.5000 0.5000
O 0.4679 0.0321 0.4679
O 0.7821 0.7821 0.2179
O 0.0321 0.0321 0.4679
O 0.2179 0.7821 0.2179
O 0.4679 0.0321 0.0321
Y 0.6250 0.1250 0.6250
O 0.7821 0.2179 0.7821
O 0.2179 0.2179 0.7821
O 0.7500 0.7500 0.7500
O 0.0321 0.4679 0.0321
O 0.7821 0.2179 0.2179
O 0.4679 0.4679 0.0321
Sb 0.1250 0.6250 0.1250
Y 0.1250 0.6250 0.6250
Y 0.6250 0.6250 0.1250
O 0.2179 0.7821 0.7821
Y 0.6250 0.6250 0.6250

SG: Fd-3m (227)
Uncorrected energy in eV/atom: -7.350
ΔE_f (raw) in eV per atom: -2.270
DOS at the Fermi energy in states/eV per cell: 7.43

***

No. 4
Material: Y3SbO
Method: DFT, PBE
State: optimized geometry

abc: 3.9247 8.6956 8.5585
angles: 97.41 90.01 103.03
Last column: magnetic moment on the atom in μB.
Atoms (fractional coordinates):
O 0.7956 0.5911 0.0959  0.01
Y 0.3376 0.6754 0.9997  0.08
Sb 0.3621 0.7240 0.6364  0.00
Y 0.1793 0.3587 0.6427  0.01
Y 0.6624 0.3246 0.0003  0.08
Sb 0.6379 0.2760 0.3636  0.00
Y 0.0115 0.0230 0.2111  0.20
O 0.2044 0.4089 0.9041  0.01
Y 0.9885 0.9770 0.7889  0.20
Y 0.8207 0.6413 0.3573  0.01

SG: C2/m (12)
Excess energy over the best structure of this formula in the dataset in meV per atom: 49
Uncorrected energy in eV/atom: -7.090
ΔE_f (raw) in eV per atom: -1.395
DOS at the Fermi energy in states/eV per cell: 6.57

***

No. 5
Material: Y2SbO6
Method: DFT, PBE
State: optimized geometry

abc: 5.0484 5.0484 10.2168
angles: 90.00 90.00 90.00
Last column: magnetic moment on the atom in μB.
Atoms (fractional coordinates):
O 0.6855 0.6855 0.6478  0.11
O 0.3145 0.3145 0.3522  0.11
O 0.8145 0.1855 0.8522  0.11
Y 0.0000 0.0000 0.6676  -0.01
O 0.7828 0.2172 0.5000  0.20
Y 0.0000 0.0000 0.3324  -0.01
Sb 0.0000 0.0000 0.0000  -0.01
O 0.2828 0.2828 0.0000  0.20
O 0.6855 0.6855 0.3522  0.11
Sb 0.5000 0.5000 0.5000  -0.01
Y 0.5000 0.5000 0.8324  -0.01
O 0.7172 0.7172 0.0000  0.20
O 0.2172 0.7828 0.5000  0.20
O 0.3145 0.3145 0.6478  0.11
O 0.1855 0.8145 0.1478  0.11
Y 0.5000 0.5000 0.1676  -0.01
O 0.8145 0.1855 0.1478  0.11
O 0.1855 0.8145 0.8522  0.11

SG: P4_2/mnm (136)
Uncorrected energy in eV/atom: -7.648
ΔE_f (raw) in eV per atom: -2.448
DOS at the Fermi energy in states/eV per cell: 9.94

***

No. 6
Material: YSbO
Method: DFT, PBE
State: optimized geometry

abc: 3.2297 6.8667 5.8155
angles: 90.00 90.00 103.60
Atoms (fractional coordinates):
Y 0.0556 0.1112 0.2500
Sb 0.2313 0.4626 0.7500
O 0.5000 0.0000 0.0000
O 0.5000 0.0000 0.5000
Y 0.9444 0.8888 0.7500
Sb 0.7687 0.5374 0.2500

SG: Cmcm (63)
Excess energy over the best structure of this formula in the dataset in meV per atom: 0
Uncorrected energy in eV/atom: -7.215
ΔE_f (raw) in eV per atom: -2.033
DOS at the Fermi energy in states/eV per cell: 0.50

***

No. 7
Material: Y4Sb3O2
Method: DFT, PBE
State: optimized geometry

abc: 4.0297 7.2283 9.1991
angles: 121.78 90.00 106.19
Atoms (fractional coordinates):
Sb 0.6066 0.2133 0.7051
Sb 0.0000 0.0000 0.0000
Y 0.8784 0.7569 0.5922
Y 0.6887 0.3774 0.1273
O 0.6912 0.3824 0.3714
Y 0.1216 0.2431 0.4078
Sb 0.3934 0.7867 0.2949
O 0.3088 0.6176 0.6286
Y 0.3113 0.6226 0.8727

SG: C2/m (12)
Uncorrected energy in eV/atom: -7.261
ΔE_f (raw) in eV per atom: -1.912
DOS at the Fermi energy in states/eV per cell: 3.08

***

No. 8
Material: YSb3O
Method: DFT, PBE
State: optimized geometry

abc: 5.7271 5.7271 5.7271
angles: 90.00 90.00 90.00
Atoms (fractional coordinates):
Y 0.0000 0.0000 0.0000
Sb 0.5000 0.0000 0.0000
O 0.5000 0.5000 0.5000
Sb 0.0000 0.5000 0.0000
Sb 0.0000 0.0000 0.5000

SG: Pm-3m (221)
Excess energy over the best structure of this formula in the dataset in meV per atom: 1492
Uncorrected energy in eV/atom: -3.855
ΔE_f (raw) in eV per atom: 0.903
DOS at the Fermi energy in states/eV per cell: 11.16